OsW2O: relaxed, GGA+U.

a b c (Å): 6.191 6.191 6.227
angles (deg): 90.00 90.00 90.00
Element x y z (fractional)
Os1 0.000 0.000 0.000
Os2 0.000 0.500 0.250
Os3 0.500 0.000 0.750
Os4 0.500 0.500 0.500
W1 0.181 0.250 0.625
W2 0.250 0.681 0.875
W3 0.250 0.819 0.375
W4 0.319 0.250 0.125
W5 0.681 0.750 0.125
W6 0.750 0.181 0.375
W7 0.750 0.319 0.875
W8 0.819 0.750 0.625
O1 0.000 0.000 0.500
O2 0.000 0.500 0.750
O3 0.500 0.000 0.250
O4 0.500 0.500 0.000

Properties
- VASP energy (eV/atom) = -7.2398